Record 1
Material: Rb2Np2HgSe6
Method: DFT, GGA-PBE
State: relaxed

a b c (Å): 7.534 7.534 8.457
angles (deg): 96.60 96.60 124.56
Last column: magnetic moment on the atom in μB.
Element x y z (fractional)
Se: 0.261 0.261 0.328  -0.08
Se: 0.739 0.739 0.672  -0.08
Se: 0.947 0.566 0.301  -0.13
Se: 0.566 0.947 0.301  -0.13
Se: 0.434 0.053 0.699  -0.13
Se: 0.053 0.434 0.699  -0.13
Np: 0.667 0.333 0.500  3.40
Np: 0.333 0.667 0.500  3.40
Hg: 0.000 0.000 0.500  0.01
Rb: 0.152 0.848 0.000  0.00
Rb: 0.848 0.152 0.000  0.00

Values from the calculation:
Calculated total energy ... -5.44 eV per atom
Magnetization ... 6.0 μB/f.u.
D(E_F) ... 17.930 states/eV/f.u.
ΔE_f (raw) ... -0.982 eV/atom

Record 2
Material: Ca2PuO4
Method: DFT, GGA-PBE
State: relaxed

a b c (Å): 3.473 5.865 6.354
angles (deg): 118.27 105.86 90.00
Last column: magnetic moment on the atom in μB.
Element x y z (fractional)
O: 0.627 0.262 0.253  -0.06
O: 0.876 0.159 0.752  -0.06
O: 0.373 0.738 0.747  -0.06
O: 0.124 0.841 0.248  -0.06
Pu: 0.000 0.000 0.000  4.21
Ca: 0.305 0.294 0.609  0.00
Ca: 0.695 0.706 0.391  0.00

Values from the calculation:
Calculated total energy ... -8.38 eV per atom
Magnetization ... 4.0 μB/f.u.
D(E_F) ... 4.608 states/eV/f.u.
ΔE_f (raw) ... -2.928 eV/atom

Record 3
Material: Tc4Ru4Pt5
Method: DFT, GGA-PBE
State: relaxed

a b c (Å): 3.884 7.287 7.287
angles (deg): 85.93 74.54 74.54
Element x y z (fractional)
Pt: 0.000 0.000 0.000
Pt: 0.697 0.841 0.764
Pt: 0.303 0.159 0.236
Pt: 0.538 0.764 0.159
Pt: 0.462 0.236 0.841
Tc: 0.764 0.401 0.070
Tc: 0.236 0.599 0.930
Tc: 0.166 0.070 0.599
Tc: 0.834 0.930 0.401
Ru: 0.383 0.688 0.545
Ru: 0.072 0.545 0.312
Ru: 0.617 0.312 0.455
Ru: 0.928 0.455 0.688

Values from the calculation:
Calculated total energy ... -8.45 eV per atom
DFT formation energy ... -0.079 eV/atom
Magnetization ... 0.0 μB/f.u.
D(E_F) ... 12.185 states/eV/f.u.

Record 4
Material: TiTlB3
Method: DFT, GGA-PBE
State: relaxed

a b c (Å): 4.399 4.399 4.399
angles (deg): 90.00 90.00 90.00
Element x y z (fractional)
Tl: 0.000 0.000 0.000
B: 0.000 0.500 0.000
B: 0.000 0.000 0.500
B: 0.500 0.000 0.000
Ti: 0.500 0.500 0.500

Values from the calculation:
Calculated total energy ... -3.58 eV per atom
DFT formation energy ... 2.482 eV/atom
Magnetization ... 0.0 μB/f.u.
D(E_F) ... 5.395 states/eV/f.u.

Record 5
Material: NdHo4Ga15
Method: DFT, GGA-PBE
State: relaxed

a b c (Å): 4.291 4.291 21.380
angles (deg): 90.00 90.00 90.00
Element x y z (fractional)
Ga: 0.500 0.500 0.201
Ga: 0.000 0.500 0.302
Ga: 0.500 0.500 0.401
Ga: 0.000 0.500 0.896
Ga: 0.500 0.000 0.302
Ga: 0.500 0.000 0.104
Ga: 0.500 0.500 0.000
Ga: 0.000 0.500 0.698
Ga: 0.500 0.000 0.500
Ga: 0.500 0.000 0.698
Ga: 0.500 0.000 0.896
Ga: 0.000 0.500 0.104
Ga: 0.500 0.500 0.599
Ga: 0.500 0.500 0.799
Ga: 0.000 0.500 0.500
Ho: 0.000 0.000 0.401
Ho: 0.000 0.000 0.203
Ho: 0.000 0.000 0.599
Ho: 0.000 0.000 0.797
Nd: 0.000 0.000 0.000

Values from the calculation:
Calculated total energy ... -3.95 eV per atom
DFT formation energy ... -0.529 eV/atom
Magnetization ... 0.0 μB/f.u.
D(E_F) ... 8.361 states/eV/f.u.

Record 6
Material: Cr4PdRh
Method: DFT, GGA-PBE
State: relaxed

a b c (Å): 4.753 4.753 4.753
angles (deg): 60.00 60.00 60.00
Element x y z (fractional)
Pd: 0.250 0.250 0.250
Rh: 0.000 0.000 0.000
Cr: 0.130 0.623 0.623
Cr: 0.623 0.623 0.623
Cr: 0.623 0.130 0.623
Cr: 0.623 0.623 0.130

Values from the calculation:
Calculated total energy ... -8.47 eV per atom
DFT formation energy ... 0.035 eV/atom
Magnetization ... 0.0 μB/f.u.
D(E_F) ... 5.032 states/eV/f.u.

- Which value of calculated total energy does entry 2 give?
  -8.38 eV per atom